(1)
VASP calculation (PBE-GGA) on an optimized crystal structure of Y2TcC2.

abc: 6.1380 6.1380 6.6837
angles: 115.84 115.84 49.17
Atoms (fractional coordinates):
Y (0.0307, 0.0307, 0.2750)
Y (0.3217, 0.3217, 0.8784)
Y (0.6783, 0.6783, 0.1216)
Y (0.9693, 0.9693, 0.7250)
Tc (0.3631, 0.3631, 0.3703)
Tc (0.6369, 0.6369, 0.6297)
C (0.1817, 0.1817, 0.1113)
C (0.4922, 0.4922, 0.7217)
C (0.5078, 0.5078, 0.2783)
C (0.8183, 0.8183, 0.8887)

Output
- Uncorrected energy: -8.68 eV per atom
- Spin magnetization: 0.00 μB per atom

(2)
VASP calculation (PBE-GGA) on an optimized crystal structure of Gd2HoMg3Tl2Cd.

abc: 4.6399 7.5659 7.5659
angles: 119.69 90.00 90.00
Atoms (fractional coordinates):
Gd (0.0000, 0.2128, 0.7872)
Gd (0.0000, 0.7872, 0.2128)
Ho (0.0000, 0.3619, 0.3619)
Mg (0.5000, 0.0263, 0.0263)
Mg (0.5000, 0.5467, 0.7863)
Mg (0.5000, 0.7863, 0.5467)
Tl (0.5000, 0.1219, 0.4529)
Tl (0.5000, 0.4529, 0.1219)
Cd (0.0000, 0.7840, 0.7840)

Output
- Uncorrected energy: -3.01 eV per atom
- Spin magnetization: 0.00 μB per atom

(3)
VASP calculation (PBE-GGA) on an optimized crystal structure of ZrTaSn.

abc: 4.6649 4.6649 4.6649
angles: 60.00 60.00 60.00
Atoms (fractional coordinates):
Zr (0.0000, 0.0000, 0.0000)
Ta (0.5000, 0.5000, 0.5000)
Sn (0.7500, 0.7500, 0.7500)

Output
- Uncorrected energy: -7.77 eV per atom
- Spin magnetization: 0.00 μB per atom

> Which formula does entry 2 have?

Gd2HoMg3Tl2Cd

Repeat the third record exactly.
VASP calculation (PBE-GGA) on an optimized crystal structure of ZrTaSn.

abc: 4.6649 4.6649 4.6649
angles: 60.00 60.00 60.00
Atoms (fractional coordinates):
Zr (0.0000, 0.0000, 0.0000)
Ta (0.5000, 0.5000, 0.5000)
Sn (0.7500, 0.7500, 0.7500)

Output
- Uncorrected energy: -7.77 eV per atom
- Spin magnetization: 0.00 μB per atom